Density functional theory data (PBE-GGA) for a relaxed structure of SmDyAu6.

Summary:
For the formation energy, the calculation gives -710.5 meV per atom. The symmetry is Pmm2, No. 25.

Unit cell a=5.054 b=6.257 c=5.159 alpha=90.00 beta=90.00 gamma=90.00
Element x y z (fractional)
Au 0.000 0.248 0.339
Au 0.500 0.500 0.167
Au 0.000 0.752 0.339
Au 0.000 0.000 0.826
Au 0.500 0.262 0.663
Au 0.500 0.738 0.663
Dy 0.000 0.500 0.845
Sm 0.500 0.000 0.158


Density functional theory data (PBE-GGA) for a relaxed structure of SmDyAu4.

Summary:
For the formation energy, the calculation gives -839.3 meV per atom. The symmetry is P4/mmm, No. 123.

Unit cell a=3.756 b=3.756 c=9.108 alpha=90.00 beta=90.00 gamma=90.00
Element x y z (fractional)
Au 0.000 0.000 0.662
Au 0.500 0.500 0.170
Au 0.500 0.500 0.830
Au 0.000 0.000 0.338
Sm 0.000 0.000 0.000
Dy 0.500 0.500 0.500


Density functional theory data (PBE-GGA) for a relaxed structure of Dy2Sn6Au.

Summary:
The electronic total energy comes out at -4.4892 eV/atom. The symmetry is Cmmm, No. 65.

Unit cell a=11.646 b=11.646 c=4.535 alpha=90.00 beta=90.00 gamma=157.94
Element x y z (fractional)
Dy 0.318 0.682 0.500
Dy 0.682 0.318 0.500
Au 0.000 0.000 0.000
Sn 0.795 0.205 0.000
Sn 0.580 0.420 0.000
Sn 0.420 0.580 0.000
Sn 0.078 0.922 0.500
Sn 0.922 0.078 0.500
Sn 0.205 0.795 0.000


Density functional theory data (PBE-GGA) for a relaxed structure of Tb2DySn4Au4.

Summary:
The electronic total energy comes out at -4.5492 eV/atom. The symmetry is Immm, No. 71.

Unit cell a=8.838 b=8.838 c=8.838 alpha=149.85 beta=131.60 gamma=58.09
Element x y z (fractional)
Tb 0.371 0.871 0.500
Tb 0.629 0.129 0.500
Sn 0.212 0.212 0.000
Sn 0.698 0.500 0.198
Sn 0.788 0.788 0.000
Sn 0.302 0.500 0.802
Au 0.625 0.330 0.295
Au 0.965 0.670 0.295
Au 0.035 0.330 0.705
Au 0.375 0.670 0.705
Dy 0.000 0.000 0.000


Density functional theory data (PBE-GGA) for a relaxed structure of DyY2Sn4Au4.

Summary:
The electronic total energy comes out at -4.8829 eV/atom. The symmetry is Immm, No. 71.

Unit cell a=8.847 b=8.847 c=8.847 alpha=150.06 beta=131.53 gamma=58.02
Element x y z (fractional)
Sn 0.302 0.500 0.802
Sn 0.698 0.500 0.198
Sn 0.214 0.214 0.000
Sn 0.786 0.786 0.000
Y 0.628 0.128 0.500
Y 0.372 0.872 0.500
Au 0.373 0.669 0.704
Au 0.035 0.331 0.704
Au 0.627 0.331 0.296
Au 0.965 0.669 0.296
Dy 0.000 0.000 0.000


Density functional theory data (PBE-GGA) for a relaxed structure of TbDyAu2.

Summary:
For the formation energy, the calculation gives -882.6 meV per atom. The symmetry is Amm2, No. 38.

Unit cell a=4.660 b=5.789 c=5.789 alpha=37.46 beta=90.00 gamma=90.00
Element x y z (fractional)
Au 0.000 0.911 0.911
Au 0.500 0.089 0.089
Dy 0.000 0.640 0.640
Tb 0.500 0.360 0.360


Density functional theory data (PBE-GGA) for a relaxed structure of TbDyAu.

Summary:
For the formation energy, the calculation gives -634.1 meV per atom. The symmetry is Pnma, No. 62.

Unit cell a=7.105 b=4.966 c=8.943 alpha=90.00 beta=90.00 gamma=90.00
Element x y z (fractional)
Tb 0.012 0.250 0.823
Tb 0.488 0.750 0.323
Tb 0.988 0.750 0.177
Tb 0.512 0.250 0.677
Dy 0.350 0.750 0.918
Dy 0.650 0.250 0.082
Dy 0.150 0.250 0.418
Dy 0.850 0.750 0.582
Au 0.743 0.250 0.402
Au 0.243 0.250 0.098
Au 0.757 0.750 0.902
Au 0.257 0.750 0.598


Density functional theory data (PBE-GGA) for a relaxed structure of TbDyAu.

Summary:
For the formation energy, the calculation gives 135.9 meV per atom. The symmetry is F-43m, No. 216.

Unit cell a=4.851 b=4.851 c=4.851 alpha=60.00 beta=60.00 gamma=60.00
Element x y z (fractional)
Au 0.250 0.250 0.250
Tb 0.750 0.750 0.750
Dy 0.000 0.000 0.000


Density functional theory data (PBE-GGA) for a relaxed structure of TbDyAu4.

Summary:
For the formation energy, the calculation gives -865.9 meV per atom. The symmetry is P4/mmm, No. 123.

Unit cell a=3.737 b=3.737 c=9.058 alpha=90.00 beta=90.00 gamma=90.00
Element x y z (fractional)
Au 0.500 0.500 0.834
Au 0.500 0.500 0.166
Au 0.000 0.000 0.665
Au 0.000 0.000 0.335
Tb 0.000 0.000 0.000
Dy 0.500 0.500 0.500


Density functional theory data (PBE-GGA) for a relaxed structure of TbDyTlAu2.

Summary:
The electronic total energy comes out at -4.2965 eV/atom. The symmetry is Amm2, No. 38.

Unit cell a=3.575 b=7.748 c=7.748 alpha=34.14 beta=90.00 gamma=90.00
Element x y z (fractional)
Au 0.500 0.805 0.805
Au 0.500 0.196 0.196
Dy 0.000 0.369 0.369
Tb 0.000 0.630 0.630
Tl 0.500 0.000 0.000


Density functional theory data (PBE-GGA) for a relaxed structure of Dy2Te3Au.

Summary:
The electronic total energy comes out at -4.7005 eV/atom. The symmetry is Pnma, No. 62.

Unit cell a=8.362 b=4.198 c=19.161 alpha=90.00 beta=90.00 gamma=90.00
Element x y z (fractional)
Dy 0.289 0.750 0.503
Dy 0.924 0.250 0.295
Dy 0.424 0.250 0.205
Dy 0.711 0.250 0.497
Dy 0.576 0.750 0.795
Dy 0.076 0.750 0.705
Dy 0.789 0.750 0.997
Dy 0.211 0.250 0.003
Te 0.340 0.250 0.386
Te 0.950 0.750 0.419
Te 0.163 0.750 0.237
Te 0.550 0.250 0.919
Te 0.660 0.750 0.614
Te 0.840 0.250 0.114
Te 0.337 0.250 0.737
Te 0.450 0.750 0.081
Te 0.050 0.250 0.581
Te 0.160 0.750 0.886
Te 0.663 0.750 0.263
Te 0.837 0.250 0.763
Au 0.928 0.250 0.906
Au 0.072 0.750 0.094
Au 0.428 0.250 0.594
Au 0.572 0.750 0.406


Density functional theory data (PBE-GGA) for a relaxed structure of Dy2Te3Au.

Summary:
The electronic total energy comes out at -4.6652 eV/atom. The symmetry is Pnma, No. 62.

Unit cell a=10.805 b=4.103 c=14.833 alpha=90.00 beta=90.00 gamma=90.00
Element x y z (fractional)
Te 0.543 0.250 0.902
Te 0.957 0.750 0.402
Te 0.941 0.250 0.904
Te 0.043 0.250 0.598
Te 0.059 0.750 0.096
Te 0.759 0.250 0.136
Te 0.559 0.750 0.404
Te 0.259 0.250 0.364
Te 0.441 0.250 0.596
Te 0.457 0.750 0.098
Te 0.741 0.750 0.636
Te 0.241 0.750 0.864
Au 0.245 0.250 0.722
Au 0.755 0.750 0.278
Au 0.745 0.250 0.778
Au 0.255 0.750 0.222
Dy 0.241 0.750 0.530
Dy 0.991 0.750 0.751
Dy 0.509 0.250 0.251
Dy 0.759 0.250 0.470
Dy 0.009 0.250 0.249
Dy 0.491 0.750 0.749
Dy 0.259 0.250 0.030
Dy 0.741 0.750 0.970


Density functional theory data (PBE-GGA) for a relaxed structure of DyTh2Au.

Summary:
For the formation energy, the calculation gives -175.3 meV per atom. The symmetry is Cmcm, No. 63.

Unit cell a=6.264 b=6.264 c=5.978 alpha=90.00 beta=90.00 gamma=73.76
Element x y z (fractional)
Dy 0.333 0.667 0.250
Dy 0.667 0.333 0.750
Th 0.510 0.874 0.750
Th 0.126 0.490 0.750
Th 0.874 0.510 0.250
Th 0.490 0.126 0.250
Au 0.000 0.000 0.500
Au 0.000 0.000 0.000


Density functional theory data (PBE-GGA) for a relaxed structure of DyYTlAu2.

Summary:
The electronic total energy comes out at -4.6666 eV/atom. The symmetry is Amm2, No. 38.

Unit cell a=3.576 b=7.754 c=7.754 alpha=34.06 beta=90.00 gamma=90.00
Element x y z (fractional)
Dy 0.000 0.369 0.369
Tl 0.500 0.000 0.000
Y 0.000 0.629 0.629
Au 0.500 0.196 0.196
Au 0.500 0.805 0.805


Density functional theory data (PBE-GGA) for a relaxed structure of DyTmAu2.

Summary:
For the formation energy, the calculation gives -894.3 meV per atom. The symmetry is Amm2, No. 38.

Unit cell a=4.630 b=5.747 c=5.747 alpha=37.48 beta=90.00 gamma=90.00
Element x y z (fractional)
Tm 0.500 0.360 0.360
Dy 0.000 0.640 0.640
Au 0.500 0.089 0.089
Au 0.000 0.911 0.911


Density functional theory data (PBE-GGA) for a relaxed structure of DyTmAu.

Summary:
For the formation energy, the calculation gives -656.1 meV per atom. The symmetry is Pnma, No. 62.

Unit cell a=7.080 b=4.907 c=8.831 alpha=90.00 beta=90.00 gamma=90.00
Element x y z (fractional)
Au 0.255 0.750 0.901
Au 0.755 0.750 0.599
Au 0.245 0.250 0.401
Au 0.745 0.250 0.099
Dy 0.486 0.750 0.177
Dy 0.014 0.250 0.677
Dy 0.514 0.250 0.823
Dy 0.986 0.750 0.323
Tm 0.852 0.750 0.920
Tm 0.148 0.250 0.080
Tm 0.352 0.750 0.580
Tm 0.648 0.250 0.420


Density functional theory data (PBE-GGA) for a relaxed structure of DyTmAu.

Summary:
For the formation energy, the calculation gives -465.8 meV per atom. The symmetry is F-43m, No. 216.

Unit cell a=4.903 b=4.903 c=4.903 alpha=60.00 beta=60.00 gamma=60.00
Element x y z (fractional)
Au 0.000 0.000 0.000
Dy 0.250 0.250 0.250
Tm 0.750 0.750 0.750


Density functional theory data (PBE-GGA) for a relaxed structure of DyUAu.

Summary:
For the formation energy, the calculation gives 614.3 meV per atom. The symmetry is F-43m, No. 216.

Unit cell a=4.856 b=4.856 c=4.856 alpha=60.00 beta=60.00 gamma=60.00
Element x y z (fractional)
Dy 0.750 0.750 0.750
Au 0.250 0.250 0.250
U 0.000 0.000 0.000


Density functional theory data (PBE-GGA) for a relaxed structure of DyYAu2.

Summary:
For the formation energy, the calculation gives -885.6 meV per atom. The symmetry is Amm2, No. 38.

Unit cell a=4.658 b=5.787 c=5.787 alpha=37.46 beta=90.00 gamma=90.00
Element x y z (fractional)
Au 0.000 0.911 0.911
Au 0.500 0.089 0.089
Dy 0.000 0.640 0.640
Y 0.500 0.360 0.360


Density functional theory data (PBE-GGA) for a relaxed structure of DyYAu.

Summary:
For the formation energy, the calculation gives -449.9 meV per atom. The symmetry is F-43m, No. 216.

Unit cell a=4.946 b=4.946 c=4.946 alpha=60.00 beta=60.00 gamma=60.00
Element x y z (fractional)
Dy 0.250 0.250 0.250
Au 0.000 0.000 0.000
Y 0.750 0.750 0.750


The evaluated V for the records listed, in turn: 20.39, 21.41, 25.66, 23.40, 23.35, 23.75, 26.29, 26.91, 21.08, 24.09, 28.02, 27.40, 28.14, 24.08, 23.26, 25.57, 27.78, 26.98, 23.72, 28.52 Å³ per atom.
The evaluated M_tot for the records listed, in turn: 0.00, 0.00, 0.00, 0.00, 0.00, 0.00, 0.01, 0.00, 0.00, 0.01, 0.00, 0.00, 0.02, 0.01, 0.00, 0.01, 0.07, 2.78, 0.00, 0.07 Bohr magnetons per cell.